Below is Tm2FeSi2 after structural relaxation, with properties calculated at the GGA-PBEsol level.

a = 5.484 Å, b = 5.484 Å, c = 9.721 Å
α = 116.93°, β = 116.93°, γ = 43.47°
Atoms (fractional coordinates):
Tm (0.002, 0.002, 0.172)
Tm (0.189, 0.189, 0.608)
Tm (0.811, 0.811, 0.392)
Tm (0.998, 0.998, 0.828)
Fe (0.271, 0.271, 0.124)
Fe (0.729, 0.729, 0.876)
Si (0.348, 0.348, 0.936)
Si (0.499, 0.499, 0.627)
Si (0.501, 0.501, 0.373)
Si (0.652, 0.652, 0.064)

Summary:
**Total energy**: -6.8458 eV per atom
**SG**: C2/m (12)
**Spin magnetization**: 0.0 μB/cell

---

Below is U2Fe3Si5 after structural relaxation, with properties calculated at the GGA-PBEsol level.

a = 7.774 Å, b = 7.774 Å, c = 5.389 Å
α = 110.13°, β = 110.13°, γ = 92.29°
Atoms (fractional coordinates):
U (0.090, 0.371, 0.225)
U (0.371, 0.090, 0.725)
U (0.629, 0.910, 0.275)
U (0.910, 0.629, 0.775)
Fe (0.041, 0.752, 0.356)
Fe (0.248, 0.959, 0.144)
Fe (0.500, 0.500, 0.250)
Fe (0.500, 0.500, 0.750)
Fe (0.752, 0.041, 0.856)
Fe (0.959, 0.248, 0.644)
Si (0.015, 0.985, 0.750)
Si (0.241, 0.431, 0.829)
Si (0.275, 0.725, 0.750)
Si (0.294, 0.706, 0.250)
Si (0.431, 0.241, 0.329)
Si (0.569, 0.759, 0.671)
Si (0.706, 0.294, 0.750)
Si (0.725, 0.275, 0.250)
Si (0.759, 0.569, 0.171)
Si (0.985, 0.015, 0.250)

Summary:
**Total energy**: -8.5476 eV per atom
**SG**: C2/c (15)
**Spin magnetization**: 3.9 μB/cell